No. 1
The following is a GGA-PBEsol calculation of a geometry-optimized ZnCd3Ni structure, from Alexandria.

Structure (CIF):
```
data_ZnCd3Ni
_space_group_name_H-M_alt 'P m -3 m'
_space_group_IT_number 221
_space_group_name_Hall '-P 4 2 3'
_cell_length_a 4.856
_cell_length_b 4.856
_cell_length_c 4.856
_cell_angle_alpha 90.00
_cell_angle_beta 90.00
_cell_angle_gamma 90.00
loop_
_atom_site_label
_atom_site_fract_x
_atom_site_fract_y
_atom_site_fract_z
Zn1 0.000 0.000 0.000
Cd1 0.000 0.500 0.500
Ni1 0.500 0.500 0.500
```

Calculated values
Crystal system: cubic
Total energy (eV/atom): -1.871

---

No. 2
The following is a GGA-PBEsol calculation of a geometry-optimized ZnCd2Ni2 structure, from Alexandria.

Structure (CIF):
```
data_ZnCd2Ni2
_space_group_name_H-M_alt 'P 4/m b m'
_space_group_IT_number 127
_space_group_name_Hall '-P 4 2ab'
_cell_length_a 6.113
_cell_length_b 6.113
_cell_length_c 4.012
_cell_angle_alpha 90.00
_cell_angle_beta 90.00
_cell_angle_gamma 90.00
loop_
_atom_site_label
_atom_site_fract_x
_atom_site_fract_y
_atom_site_fract_z
Zn1 0.000 0.000 0.000
Cd1 0.168 0.332 0.500
Ni1 0.135 0.635 0.000
```

Calculated values
Crystal system: tetragonal
Total energy (eV/atom): -3.287

---

No. 3
The following is a GGA-PBEsol calculation of a geometry-optimized Zr2CdNi structure, from Alexandria.

Structure (CIF):
```
data_Zr2CdNi
_space_group_name_H-M_alt 'R -3 m'
_space_group_IT_number 166
_space_group_name_Hall '-R 3 2"'
_cell_length_a 3.0487
_cell_length_b 3.0487
_cell_length_c 27.9746
_cell_angle_alpha 90.00
_cell_angle_beta 90.00
_cell_angle_gamma 120.00
loop_
_atom_site_label
_atom_site_fract_x
_atom_site_fract_y
_atom_site_fract_z
Zr1 0.0000 0.0000 0.2392
Cd1 0.0000 0.0000 0.0000
Ni1 0.0000 0.0000 0.5000
```

Calculated values
Crystal system: trigonal
Total energy (eV/atom): -6.382

---

No. 4
The following is a GGA-PBEsol calculation of a geometry-optimized Zr2CdNi structure, from Alexandria.

Structure (CIF):
```
data_Zr2CdNi
_space_group_name_H-M_alt 'I 4/m m m'
_space_group_IT_number 139
_space_group_name_Hall '-I 4 2'
_cell_length_a 4.183
_cell_length_b 4.183
_cell_length_c 8.258
_cell_angle_alpha 90.00
_cell_angle_beta 90.00
_cell_angle_gamma 90.00
loop_
_atom_site_label
_atom_site_fract_x
_atom_site_fract_y
_atom_site_fract_z
Zr1 0.000 0.500 0.250
Cd1 0.000 0.000 0.000
Ni1 0.000 0.000 0.500
```

Calculated values
Crystal system: tetragonal
Total energy (eV/atom): -6.475

---

No. 5
The following is a GGA-PBEsol calculation of a geometry-optimized Zr2CdNi structure, from Alexandria.

Structure (CIF):
```
data_Zr2CdNi
_space_group_name_H-M_alt 'P 4 m m'
_space_group_IT_number 99
_cell_length_a 3.225
_cell_length_b 3.225
_cell_length_c 7.111
_cell_angle_alpha 90.00
_cell_angle_beta 90.00
_cell_angle_gamma 90.00
loop_
_space_group_symop_operation_xyz
'x,y,z'
'-y,x,z'
'-x,-y,z'
'y,-x,z'
'-x,y,z'
'y,x,z'
'x,-y,z'
'-y,-x,z'
loop_
_atom_site_label
_atom_site_fract_x
_atom_site_fract_y
_atom_site_fract_z
Zr1 0.000 0.000 0.000
Zr2 0.500 0.500 0.293
Cd1 0.500 0.500 0.712
Ni1 0.000 0.000 0.487
```

Calculated values
Crystal system: tetragonal
Total energy (eV/atom): -6.583

---

No. 6
The following is a GGA-PBEsol calculation of a geometry-optimized ZrCd2Ni structure, from Alexandria.

Structure (CIF):
```
data_ZrCd2Ni
_space_group_name_H-M_alt 'C m m m'
_space_group_IT_number 65
_space_group_name_Hall '-C 2 2'
_cell_length_a 5.572
_cell_length_b 9.283
_cell_length_c 2.809
_cell_angle_alpha 90.00
_cell_angle_beta 90.00
_cell_angle_gamma 90.00
loop_
_atom_site_label
_atom_site_fract_x
_atom_site_fract_y
_atom_site_fract_z
Zr1 0.000 0.000 0.000
Cd1 0.250 0.250 0.500
Ni1 0.000 0.500 0.000
```

Calculated values
Crystal system: orthorhombic
Total energy (eV/atom): -4.264

---

No. 7
The following is a GGA-PBEsol calculation of a geometry-optimized ZrCdNi structure, from Alexandria.

Structure (CIF):
```
data_ZrCdNi
_space_group_name_H-M_alt 'P 3 m 1'
_space_group_IT_number 156
_cell_length_a 3.1120
_cell_length_b 3.1120
_cell_length_c 6.4339
_cell_angle_alpha 90.00
_cell_angle_beta 90.00
_cell_angle_gamma 120.00
loop_
_space_group_symop_operation_xyz
'x,y,z'
'-y,x-y,z'
'-x+y,-x,z'
'-y,-x,z'
'-x+y,y,z'
'x,x-y,z'
loop_
_atom_site_label
_atom_site_fract_x
_atom_site_fract_y
_atom_site_fract_z
Zr1 0.0000 0.0000 0.0000
Cd1 0.3333 0.6667 0.5995
Ni1 0.6667 0.3333 0.2840
```

Calculated values
Crystal system: trigonal
Total energy (eV/atom): -5.442

---

No. 8
The following is a GGA-PBEsol calculation of a geometry-optimized Zr2CdNi structure, from Alexandria.

Structure (CIF):
```
data_Zr2CdNi
_space_group_name_H-M_alt 'C m m m'
_space_group_IT_number 65
_space_group_name_Hall '-C 2 2'
_cell_length_a 5.743
_cell_length_b 7.998
_cell_length_c 3.177
_cell_angle_alpha 90.00
_cell_angle_beta 90.00
_cell_angle_gamma 90.00
loop_
_atom_site_label
_atom_site_fract_x
_atom_site_fract_y
_atom_site_fract_z
Zr1 0.250 0.250 0.000
Cd1 0.000 0.000 0.500
Ni1 0.000 0.500 0.500
```

Calculated values
Crystal system: orthorhombic
Total energy (eV/atom): -6.455

---

Calculated volume, respectively: 114.5, 149.9, 225.2, 144.5, 73.9, 145.3, 54.0, 145.9 Å³/cell.